DFT (GGA-PBEsol) results for crystalline RbNb3Sn at its relaxed geometry.

Unit cell a=4.7648 b=4.7648 c=4.7648 alpha=90.00 beta=90.00 gamma=90.00
Fractional positions:
Sn 0.5000 0.5000 0.5000
Nb 0.0000 0.5000 0.0000
Nb 0.5000 0.0000 0.0000
Rb 0.0000 0.0000 0.0000
Nb 0.0000 0.0000 0.5000

Offset from the most stable computed form (eV/atom): 0.5268
Magnetization (μB per cell): 0.0
Energy of formation (eV/atom): 2.421
Symmetry: Pm-3m
Final energy (hartree per atom): -0.1885